Record 1
Material: PrSnAu
Method: DFT, PBE
State: optimized geometry

The formation energy comes out at -559.6 meV/atom. The total energy comes out at -4.580 eV/atom. The calculation puts the volume at 154.0 Å³ per cell. Its size of the total moment is 0.0 μB/f.u.

The structure belongs to space group I4mm (No. 107); the cell edges are 3.6375, 3.6375 and 11.6363 Å and the angles 90.00°, 90.00° and 90.00°. Symmetry generates all atoms from Pr at (0.0000, 0.0000, 0.0000), Sn at (0.0000, 0.0000, 0.6998) and Au at (0.0000, 0.0000, 0.3431).

Record 2
Material: KScIN2
Method: DFT, PBE
State: optimized geometry

Its energy relative to the elements, uncorrected is 1.6825 eV per atom. The total energy comes out at -3.443 eV/atom. The calculation puts the volume at 139.6 Å³ per cell. Its size of the total moment is 3.0 μB/f.u.

The structure belongs to space group P4/mmm (No. 123); the cell edges are 4.7896, 4.7896 and 6.0860 Å and the angles 90.00°, 90.00° and 90.00°. Symmetry generates all atoms from K at (0.0000, 0.0000, 0.0000), Sc at (0.5000, 0.5000, 0.5000), I at (0.0000, 0.0000, 0.5000) and N at (0.0000, 0.5000, 0.0000).

Record 3
Material: Ca7Tl2N
Method: DFT, PBE
State: optimized geometry

Its energy relative to the elements, uncorrected is -0.0416 eV per atom. The total energy comes out at -2.749 eV/atom. The calculation puts the volume at 1306.2 Å³ per cell. Its size of the total moment is 0.0 μB/f.u.

The structure belongs to space group Fm-3m (No. 225); the cell edges are 10.9312, 10.9312 and 10.9312 Å and the angles 90.00°, 90.00° and 90.00°. Symmetry generates all atoms from Ca at (0.0000, 0.0000, 0.0000), Ca at (0.0000, 0.0000, 0.2816), Tl at (0.2500, 0.2500, 0.2500) and N at (0.0000, 0.0000, 0.5000).

Record 4
Material: CeEr2Ga2
Method: DFT, PBE
State: optimized geometry

The formation energy comes out at -300.7 meV/atom. The total energy comes out at -4.523 eV/atom. The calculation puts the volume at 263.8 Å³ per cell. Its size of the total moment is 1.8 μB/f.u.

The structure belongs to space group P2_1/m (No. 11); the cell edges are 5.4365, 3.9120 and 12.4948 Å and the angles 90.00°, 96.96° and 90.00°. Symmetry generates all atoms from Ce at (0.1746, 0.2500, 0.2301), Er at (0.2397, 0.7500, 0.4655), Er at (0.3488, 0.2500, 0.8900), Ga at (0.1400, 0.7500, 0.0317) and Ga at (0.2932, 0.2500, 0.6558).

Record 5
Material: SrCu2Pb
Method: DFT, PBE
State: optimized geometry

The formation energy comes out at 73.8 meV/atom. The total energy comes out at -3.322 eV/atom. The calculation puts the volume at 188.5 Å³ per cell. Its size of the total moment is 0.0 μB/f.u.

The structure belongs to space group Imm2 (No. 44); the cell edges are 3.8352, 5.3207 and 9.2386 Å and the angles 90.00°, 90.00° and 90.00°. Symmetry generates all atoms from Sr at (0.0000, 0.0000, 0.0000), Cu at (0.0000, 0.0000, 0.4582), Cu at (0.0000, 0.5000, 0.7906) and Pb at (0.0000, 0.5000, 0.2028).

Record 6
Material: Rb2Pm2I7
Method: DFT, PBE
State: optimized geometry

Its energy relative to the elements, uncorrected is -1.2968 eV per atom. The total energy comes out at -3.323 eV/atom. The calculation puts the volume at 1074.2 Å³ per cell. Its size of the total moment is 1.0 μB/f.u.

The structure belongs to space group C2/m (No. 12); the cell edges are 13.6230, 9.5806 and 8.3451 Å and the angles 90.00°, 99.51° and 90.00°. Symmetry generates all atoms from Rb at (0.0000, 0.2349, 0.0000), Pm at (0.2397, 0.0000, 0.5417), I at (0.0000, 0.0000, 0.5000), I at (0.0459, 0.5000, 0.2916) and I at (0.2307, 0.2845, 0.7408).

Record 7
Material: Li6CuAu2
Method: DFT, PBE
State: optimized geometry

The formation energy comes out at -152.9 meV/atom. The total energy comes out at -2.612 eV/atom. The calculation puts the volume at 343.5 Å³ per cell. Its size of the total moment is 0.0 μB/f.u.

The structure belongs to space group C2/m (No. 12); the cell edges are 13.6238, 6.1358 and 4.3290 Å and the angles 90.00°, 108.32° and 90.00°. Symmetry generates all atoms from Li at (0.0000, 0.2453, 0.0000), Li at (0.1663, 0.2484, 0.6673), Cu at (0.0000, 0.0000, 0.5000) and Au at (0.1651, 0.5000, 0.1664).

Record 8
Material: HfSb2TeS
Method: DFT, PBE
State: optimized geometry

Its energy relative to the elements, uncorrected is 0.4553 eV per atom. The total energy comes out at -4.638 eV/atom. The calculation puts the volume at 163.1 Å³ per cell. Its size of the total moment is 0.0 μB/f.u.

The structure belongs to space group P4/mmm (No. 123); the cell edges are 5.5206, 5.5206 and 5.3525 Å and the angles 90.00°, 90.00° and 90.00°. Symmetry generates all atoms from Hf at (0.0000, 0.0000, 0.0000), Sb at (0.0000, 0.5000, 0.0000), Te at (0.0000, 0.0000, 0.5000) and S at (0.5000, 0.5000, 0.5000).

Record 9
Material: BeAs2Pt
Method: DFT, PBE
State: optimized geometry

The formation energy comes out at -30.5 meV/atom. The total energy comes out at -4.797 eV/atom. The calculation puts the volume at 312.0 Å³ per cell. Its size of the total moment is 0.0 μB/f.u.

The structure belongs to space group I-42d (No. 122); the cell edges are 5.4953, 5.4953 and 10.3321 Å and the angles 90.00°, 90.00° and 90.00°. Symmetry generates all atoms from Be at (0.0000, 0.0000, 0.0000), As at (0.2180, 0.2500, 0.1250) and Pt at (0.0000, 0.0000, 0.5000).

Record 10
Material: BaBe2Pd2
Method: DFT, PBE
State: optimized geometry

The formation energy comes out at -305.4 meV/atom. The total energy comes out at -4.258 eV/atom. The calculation puts the volume at 193.9 Å³ per cell. Its size of the total moment is 0.0 μB/f.u.

The structure belongs to space group I4/mmm (No. 139); the cell edges are 4.2267, 4.2267 and 10.8528 Å and the angles 90.00°, 90.00° and 90.00°. Symmetry generates all atoms from Ba at (0.0000, 0.0000, 0.0000), Be at (0.0000, 0.5000, 0.2500) and Pd at (0.0000, 0.0000, 0.3343).

Record 11
Material: CsIn3Cu
Method: DFT, PBE
State: optimized geometry

The formation energy comes out at 1399.9 meV/atom. The total energy comes out at -1.233 eV/atom. The calculation puts the volume at 292.7 Å³ per cell. Its size of the total moment is 0.0 μB/f.u.

The structure belongs to space group Pm-3m (No. 221); the cell edges are 6.6397, 6.6397 and 6.6397 Å and the angles 90.00°, 90.00° and 90.00°. Symmetry generates all atoms from Cs at (0.0000, 0.0000, 0.0000), In at (0.0000, 0.0000, 0.5000) and Cu at (0.5000, 0.5000, 0.5000).

Record 12
Material: NdDyY2Er2
Method: DFT, PBE
State: optimized geometry

The formation energy comes out at 270.4 meV/atom. The total energy comes out at -4.967 eV/atom. The calculation puts the volume at 395.9 Å³ per cell. Its size of the total moment is 0.0 μB/f.u.

The structure belongs to space group Pnnm (No. 58); the cell edges are 6.5159, 17.8313 and 3.4078 Å and the angles 90.00°, 90.00° and 90.00°. Symmetry generates all atoms from Nd at (0.0000, 0.0000, 0.0000), Dy at (0.0000, 0.5000, 0.0000), Y at (0.2219, 0.1873, 0.0000) and Er at (0.2196, 0.3530, 0.5000).

Record 13
Material: Ho8CSe6
Method: DFT, PBE
State: optimized geometry

Its energy relative to the elements, uncorrected is -0.9742 eV per atom. The total energy comes out at -5.424 eV/atom. The calculation puts the volume at 363.0 Å³ per cell. Its size of the total moment is 0.0 μB/f.u.

The structure belongs to space group P-3 (No. 147); the cell edges are 10.1361, 10.1361 and 4.0798 Å and the angles 90.00°, 90.00° and 120.00°. Symmetry generates all atoms from Ho at (0.0150, 0.7534, 0.2644), Ho at (0.3333, 0.6667, 0.7430), C at (0.0000, 0.0000, 0.5000) and Se at (0.1280, 0.4660, 0.2456).

Record 14
Material: Mg7Tl2In3
Method: DFT, PBE
State: optimized geometry

The formation energy comes out at 17.2 meV/atom. The total energy comes out at -1.992 eV/atom. The calculation puts the volume at 304.0 Å³ per cell. Its size of the total moment is 0.0 μB/f.u.

The structure belongs to space group P2/m (No. 10); the cell edges are 5.1419, 3.3328 and 17.8014 Å and the angles 90.00°, 94.83° and 90.00°. Symmetry generates all atoms from Mg at (0.0000, 0.0000, 0.0000), Mg at (0.1615, 0.5000, 0.1666), Mg at (0.2626, 0.5000, 0.5471), Mg at (0.3443, 0.0000, 0.8604), Tl at (0.3129, 0.5000, 0.7135), In at (0.2189, 0.0000, 0.3890) and In at (0.5000, 0.5000, 0.0000).

Record 15
Material: Mg2CuHgH
Method: DFT, PBE
State: optimized geometry

The total energy comes out at -2.274 eV/atom. The calculation puts the volume at 76.4 Å³ per cell. Its size of the total moment is 0.0 μB/f.u.

The structure belongs to space group P4/mmm (No. 123); the cell edges are 4.7537, 4.7537 and 3.3814 Å and the angles 90.00°, 90.00° and 90.00°. Symmetry generates all atoms from Mg at (0.0000, 0.5000, 0.0000), Cu at (0.0000, 0.0000, 0.5000), Hg at (0.5000, 0.5000, 0.5000) and H at (0.0000, 0.0000, 0.0000).

Record 16
Material: YAgTe2
Method: DFT, PBE
State: optimized geometry

Its energy relative to the elements, uncorrected is -0.8320 eV per atom. The total energy comes out at -4.732 eV/atom. The calculation puts the volume at 113.1 Å³ per cell. Its size of the total moment is 0.0 μB/f.u.

The structure belongs to space group P4mm (No. 99); the cell edges are 4.2199, 4.2199 and 6.3528 Å and the angles 90.00°, 90.00° and 90.00°. Symmetry generates all atoms from Y at (0.0000, 0.0000, 0.0000), Ag at (0.5000, 0.5000, 0.3318), Te at (0.0000, 0.0000, 0.4594) and Te at (0.5000, 0.5000, 0.8820).

Record 17
Material: YAlN
Method: DFT, PBE
State: optimized geometry

Its energy relative to the elements, uncorrected is -0.9016 eV per atom. The total energy comes out at -7.079 eV/atom. The calculation puts the volume at 213.1 Å³ per cell. Its size of the total moment is 0.0 μB/f.u.

The structure belongs to space group I4/mmm (No. 139); the cell edges are 3.4490, 3.4490 and 17.9112 Å and the angles 90.00°, 90.00° and 90.00°. Symmetry generates all atoms from Y at (0.0000, 0.0000, 0.1840), Al at (0.0000, 0.0000, 0.4262) and N at (0.0000, 0.0000, 0.3161).

Record 18
Material: Ti4NbSn2
Method: DFT, PBE
State: optimized geometry

The formation energy comes out at 511.7 meV/atom. The total energy comes out at -6.582 eV/atom. The calculation puts the volume at 313.6 Å³ per cell. Its size of the total moment is 0.0 μB/f.u.

The structure belongs to space group I4/mmm (No. 139); the cell edges are 4.6049, 4.6049 and 14.7894 Å and the angles 90.00°, 90.00° and 90.00°. Symmetry generates all atoms from Ti at (0.0000, 0.0000, 0.1769), Ti at (0.0000, 0.5000, 0.0000), Nb at (0.0000, 0.0000, 0.0000) and Sn at (0.0000, 0.0000, 0.3641).

Record 19
Material: NpSe
Method: DFT, PBE
State: optimized geometry

Its energy relative to the elements, uncorrected is -0.9063 eV per atom. The total energy comes out at -9.119 eV/atom. The calculation puts the volume at 44.8 Å³ per cell. Its size of the total moment is 4.9 μB/f.u.

The structure belongs to space group Pm-3m (No. 221); the cell edges are 3.5504, 3.5504 and 3.5504 Å and the angles 90.00°, 90.00° and 90.00°. Symmetry generates all atoms from Np at (0.0000, 0.0000, 0.0000) and Se at (0.5000, 0.5000, 0.5000).

Record 20
Material: ZrAsH2Br
Method: DFT, PBE
State: optimized geometry

The total energy comes out at -4.143 eV/atom. The calculation puts the volume at 83.5 Å³ per cell. Its size of the total moment is 0.0 μB/f.u.

The structure belongs to space group P4/mmm (No. 123); the cell edges are 3.7803, 3.7803 and 5.8419 Å and the angles 90.00°, 90.00° and 90.00°. Symmetry generates all atoms from Zr at (0.0000, 0.0000, 0.0000), As at (0.5000, 0.5000, 0.0000), H at (0.0000, 0.5000, 0.5000) and Br at (0.0000, 0.0000, 0.5000).

Record 21
Material: LiDyTm2Hg4
Method: DFT, PBE
State: optimized geometry

The formation energy comes out at -448.2 meV/atom. The total energy comes out at -2.531 eV/atom. The calculation puts the volume at 572.9 Å³ per cell. Its size of the total moment is 0.0 μB/f.u.

The structure belongs to space group R-3m (No. 166, hexagonal axes); the cell edges are 5.1018, 5.1018 and 25.4176 Å and the angles 90.00°, 90.00° and 120.00°. Symmetry generates all atoms from Li at (0.0000, 0.0000, 0.0000), Dy at (0.0000, 0.0000, 0.5000), Tm at (0.0000, 0.0000, 0.2546), Hg at (0.0000, 0.0000, 0.1210) and Hg at (0.0000, 0.0000, 0.3741).

Record 22
Material: CeYGaCo
Method: DFT, PBE
State: optimized geometry

The formation energy comes out at -253.3 meV/atom. The total energy comes out at -5.886 eV/atom. The calculation puts the volume at 346.6 Å³ per cell. Its size of the total moment is 0.5 μB/f.u.

The structure belongs to space group F-43m (No. 216); the cell edges are 7.0247, 7.0247 and 7.0247 Å and the angles 90.00°, 90.00° and 90.00°. Symmetry generates all atoms from Ce at (0.0000, 0.0000, 0.0000), Y at (0.0000, 0.0000, 0.5000), Ga at (0.2500, 0.2500, 0.2500) and Co at (0.2500, 0.2500, 0.7500).

Record 23
Material: ZrSc2Co4
Method: DFT, PBE
State: optimized geometry

The formation energy comes out at 62.1 meV/atom. The total energy comes out at -7.029 eV/atom. The calculation puts the volume at 337.4 Å³ per cell. Its size of the total moment is 0.0 μB/f.u.

The structure belongs to space group R-3m (No. 166, hexagonal axes); the cell edges are 4.3009, 4.3009 and 21.0594 Å and the angles 90.00°, 90.00° and 120.00°. Symmetry generates all atoms from Zr at (0.0000, 0.0000, 0.0000), Sc at (0.0000, 0.0000, 0.2384), Co at (0.0000, 0.0000, 0.1205) and Co at (0.0000, 0.0000, 0.3760).

Record 24
Material: AlTcP2Pd
Method: DFT, PBE
State: optimized geometry

The formation energy comes out at 498.1 meV/atom. The total energy comes out at -5.526 eV/atom. The calculation puts the volume at 103.5 Å³ per cell. Its size of the total moment is 0.0 μB/f.u.

The structure belongs to space group P4/mmm (No. 123); the cell edges are 4.4472, 4.4472 and 5.2338 Å and the angles 90.00°, 90.00° and 90.00°. Symmetry generates all atoms from Al at (0.0000, 0.0000, 0.0000), Tc at (0.5000, 0.5000, 0.5000), P at (0.0000, 0.5000, 0.5000) and Pd at (0.5000, 0.5000, 0.0000).

Record 25
Material: K10AgAu4
Method: DFT, PBE
State: optimized geometry

The formation energy comes out at -136.9 meV/atom. The total energy comes out at -1.933 eV/atom. The calculation puts the volume at 1975.1 Å³ per cell. Its size of the total moment is 2.1 μB/f.u.

The structure belongs to space group R-3m (No. 166, hexagonal axes); the cell edges are 5.6872, 5.6872 and 70.5129 Å and the angles 90.00°, 90.00° and 120.00°. Symmetry generates all atoms from K at (0.0000, 0.0000, 0.0493), K at (0.0000, 0.0000, 0.1480), K at (0.0000, 0.0000, 0.2512), K at (0.0000, 0.0000, 0.3498), K at (0.0000, 0.0000, 0.4479), Ag at (0.0000, 0.0000, 0.5000), Au at (0.0000, 0.0000, 0.0985) and Au at (0.0000, 0.0000, 0.3005).